*w*
A relaxed KSrZn crystal. Source: Alexandria, functional PBE.

Cell and atoms, written as extended XYZ:
```
3
Lattice="0.000 4.054 4.054 4.054 0.000 4.054 4.054 4.054 0.000" Properties=species:S:1:pos:R:3 pbc="T T T"
K 0.000 0.000 0.000
Sr 4.054 4.054 4.054
Zn 2.027 2.027 2.027
```

Results
Its space group is F-43m (216). The value obtained for the density is 2.394 g/cm³. Its density of states at the Fermi level is 2.65 states/eV per cell.

*x*
A relaxed KSrZn crystal. Source: Alexandria, functional PBE.

Cell and atoms, written as extended XYZ:
```
3
Lattice="-2.036 2.036 7.613 2.036 -2.036 7.613 2.036 2.036 -7.613" Properties=species:S:1:pos:R:3 pbc="T T T"
K 0.000 0.000 0.000
Sr 0.000 0.000 3.995
Zn 0.000 0.000 9.956
```

Results
Its space group is I4mm (107). The value obtained for the density is 2.529 g/cm³. Its density of states at the Fermi level is 3.88 states/eV per cell.

*y*
A relaxed KSrZn crystal. Source: Alexandria, functional PBE.

Cell and atoms, written as extended XYZ:
```
3
Lattice="4.453 0.000 0.000 -2.226 3.856 0.000 0.000 0.000 8.148" Properties=species:S:1:pos:R:3 pbc="T T T"
K 0.000 0.000 0.000
Sr 0.000 2.571 3.867
Zn 2.226 1.285 5.792
```

Results
Its space group is P3m1 (156). The value obtained for the density is 2.280 g/cm³. Its density of states at the Fermi level is 3.22 states/eV per cell.

Q: Which of them is the most stable? A: *x*.

*w*
A relaxed K2SrZr crystal. Source: Alexandria, functional PBE.

Cell and atoms, written as extended XYZ:
```
4
Lattice="0.000 4.547 4.547 4.547 0.000 4.547 4.547 4.547 0.000" Properties=species:S:1:pos:R:3 pbc="T T T"
K 0.000 0.000 0.000
K 2.273 2.273 2.273
Sr 6.820 6.820 6.820
Zr 4.547 4.547 4.547
```

Results
Its space group is F-43m (216). The value obtained for the density is 2.270 g/cm³. Its density of states at the Fermi level is 9.95 states/eV per cell.

*x*
A relaxed K2SrZr crystal. Source: Alexandria, functional PBE.

Cell and atoms, written as extended XYZ:
```
4
Lattice="6.674 0.000 0.000 0.000 6.674 0.000 0.000 0.000 4.192" Properties=species:S:1:pos:R:3 pbc="T T T"
K 0.000 3.337 0.000
K 3.337 0.000 0.000
Sr 0.000 0.000 2.096
Zr 3.337 3.337 2.096
```

Results
Its space group is P4/mmm (123). The value obtained for the density is 2.286 g/cm³. Its density of states at the Fermi level is 6.73 states/eV per cell.

Q: Which of them is the most stable? A: *w*.

*w*
A relaxed K2SrZr crystal. Source: Alexandria, functional PBE.

Cell and atoms, written as extended XYZ:
```
4
Lattice="-1.910 3.640 6.906 1.910 -3.640 6.906 1.910 3.640 -6.906" Properties=species:S:1:pos:R:3 pbc="T T T"
K 0.000 0.000 0.000
K 0.000 3.640 3.226
Sr 1.910 0.000 3.862
Zr 0.000 0.000 6.794
```

Results
Its space group is Imm2 (44). The value obtained for the density is 2.222 g/cm³. Its density of states at the Fermi level is 5.69 states/eV per cell.

*x*
A relaxed K2SrZr crystal. Source: Alexandria, functional PBE.

Cell and atoms, written as extended XYZ:
```
4
Lattice="3.628 0.000 0.000 0.000 3.628 0.000 0.000 0.000 13.622" Properties=species:S:1:pos:R:3 pbc="T T T"
K 0.000 0.000 3.011
K 0.000 0.000 10.611
Sr 1.814 1.814 6.811
Zr 1.814 1.814 0.000
```

Results
Its space group is P4/mmm (123). The value obtained for the density is 2.381 g/cm³. Its density of states at the Fermi level is 4.13 states/eV per cell.

*y*
A relaxed K2SrZr crystal. Source: Alexandria, functional PBE.

Cell and atoms, written as extended XYZ:
```
4
Lattice="1.968 -3.116 0.000 1.968 3.116 0.000 0.000 0.000 14.396" Properties=species:S:1:pos:R:3 pbc="T T T"
K 0.000 0.000 3.245
K 0.000 0.000 11.151
Sr 1.968 0.000 7.198
Zr 1.968 0.000 0.000
```

Results
Its space group is Cmmm (65). The value obtained for the density is 2.417 g/cm³. Its density of states at the Fermi level is 6.34 states/eV per cell.

Q: Which of them is the most stable? A: *y*.